Record 1
Crystalline MnCr2Se5 at its relaxed geometry. Source: the Alexandria database, functional PBE.

```
data_MnCr2Se5
_chemical_formula_sum 'Mn1 Cr2 Se5'
_space_group_name_H-M_alt 'P 1'
_space_group_IT_number 1
_space_group_name_Hall 'P 1'
_cell_length_a 4.800
_cell_length_b 6.302
_cell_length_c 6.919
_cell_angle_alpha 82.41
_cell_angle_beta 69.70
_cell_angle_gamma 67.62
loop_
_atom_site_label
_atom_site_fract_x
_atom_site_fract_y
_atom_site_fract_z
_atom_site_occupancy
Cr1 0.809 0.500 0.882 1
Se1 0.524 0.764 0.188 1
Cr2 0.191 0.500 0.118 1
Se2 0.000 0.500 0.500 1
Mn1 0.500 0.500 0.500 1
Se3 0.476 0.236 0.812 1
Se4 0.212 0.764 0.812 1
Se5 0.788 0.236 0.188 1
```

## Properties
For the raw total energy, the calculation gives -5.881 eV/atom. The calculation puts the energy relative to the elements, uncorrected at -14.6 kJ/mol of atoms. As for the crystal system: orthorhombic.


Record 2
Crystalline RbCd4In2 at its relaxed geometry. Source: the Alexandria database, functional PBE.

```
data_RbCd4In2
_chemical_formula_sum 'Rb1 Cd4 In2'
_space_group_name_H-M_alt 'P 1'
_space_group_IT_number 1
_space_group_name_Hall 'P 1'
_cell_length_a 4.855
_cell_length_b 4.343
_cell_length_c 10.378
_cell_angle_alpha 102.08
_cell_angle_beta 103.53
_cell_angle_gamma 90.00
loop_
_atom_site_label
_atom_site_fract_x
_atom_site_fract_y
_atom_site_fract_z
_atom_site_occupancy
Cd1 0.925 0.425 0.850 1
In1 0.814 0.814 0.629 1
Cd2 0.333 0.333 0.667 1
Rb1 0.500 0.000 0.000 1
Cd3 0.667 0.667 0.333 1
In2 0.186 0.186 0.371 1
Cd4 0.075 0.575 0.150 1
```

## Properties
For the raw total energy, the calculation gives -1.424 eV/atom. The value obtained for the formation energy is 2 kJ per mole of atoms. Its polymorph energy (0 for the lowest one) is 0.0633 eV/atom. As for the crystal system: orthorhombic.


Record 3
Crystalline ZrAgSn2 at its relaxed geometry. Source: the Alexandria database, functional PBE.

```
data_ZrAgSn2
_chemical_formula_sum 'Zr1 Ag1 Sn2'
_space_group_name_H-M_alt 'P 1'
_space_group_IT_number 1
_space_group_name_Hall 'P 1'
_cell_length_a 3.277
_cell_length_b 3.277
_cell_length_c 10.563
_cell_angle_alpha 81.08
_cell_angle_beta 81.08
_cell_angle_gamma 60.00
loop_
_atom_site_label
_atom_site_fract_x
_atom_site_fract_y
_atom_site_fract_z
_atom_site_occupancy
Sn1 0.913 0.913 0.262 1
Sn2 0.087 0.087 0.738 1
Zr1 0.500 0.500 0.500 1
Ag1 0.000 0.000 0.000 1
```

## Properties
For the raw total energy, the calculation gives -4.934 eV/atom. The value obtained for the formation energy is -8 kJ per mole of atoms. Its polymorph energy (0 for the lowest one) is 0.1475 eV/atom. As for the crystal system: trigonal.


Record 4
Crystalline TaFe2Ni2 at its relaxed geometry. Source: the Alexandria database, functional PBE.

```
data_TaFe2Ni2
_chemical_formula_sum 'Ta2 Fe4 Ni4'
_space_group_name_H-M_alt 'P 1'
_space_group_IT_number 1
_space_group_name_Hall 'P 1'
_cell_length_a 6.916
_cell_length_b 6.916
_cell_length_c 2.645
_cell_angle_alpha 90.00
_cell_angle_beta 90.00
_cell_angle_gamma 90.00
loop_
_atom_site_label
_atom_site_fract_x
_atom_site_fract_y
_atom_site_fract_z
_atom_site_occupancy
Fe1 0.329 0.171 0.500 1
Ni1 0.624 0.124 0.000 1
Fe2 0.171 0.671 0.500 1
Ta1 0.500 0.500 0.000 1
Fe3 0.671 0.829 0.500 1
Ni2 0.876 0.624 0.000 1
Ni3 0.376 0.876 0.000 1
Fe4 0.829 0.329 0.500 1
Ta2 0.000 0.000 0.000 1
Ni4 0.124 0.376 0.000 1
```

## Properties
For the raw total energy, the calculation gives -8.031 eV/atom. The value obtained for the formation energy is 4 kJ per mole of atoms. Its polymorph energy (0 for the lowest one) is 0.0000 eV/atom. As for the crystal system: tetragonal.


Record 5
Crystalline Zr3ZnBi at its relaxed geometry. Source: the Alexandria database, functional PBE.

```
data_Zr3ZnBi
_chemical_formula_sum 'Zr3 Zn1 Bi1'
_space_group_name_H-M_alt 'P 1'
_space_group_IT_number 1
_space_group_name_Hall 'P 1'
_cell_length_a 5.005
_cell_length_b 5.005
_cell_length_c 5.005
_cell_angle_alpha 90.00
_cell_angle_beta 90.00
_cell_angle_gamma 90.00
loop_
_atom_site_label
_atom_site_fract_x
_atom_site_fract_y
_atom_site_fract_z
_atom_site_occupancy
Zr1 0.000 0.500 0.000 1
Zn1 0.000 0.000 0.000 1
Zr2 0.500 0.000 0.000 1
Bi1 0.500 0.500 0.500 1
Zr3 0.000 0.000 0.500 1
```

## Properties
For the raw total energy, the calculation gives -5.876 eV/atom. The value obtained for the formation energy is 27 kJ per mole of atoms. Its polymorph energy (0 for the lowest one) is 0.3890 eV/atom. As for the crystal system: cubic.


Record 6
Crystalline Hf8SbRh2 at its relaxed geometry. Source: the Alexandria database, functional PBE.

```
data_Hf8SbRh2
_chemical_formula_sum 'Hf8 Sb1 Rh2'
_space_group_name_H-M_alt 'P 1'
_space_group_IT_number 1
_space_group_name_Hall 'P 1'
_cell_length_a 5.226
_cell_length_b 7.369
_cell_length_c 7.369
_cell_angle_alpha 116.56
_cell_angle_beta 99.84
_cell_angle_gamma 99.84
loop_
_atom_site_label
_atom_site_fract_x
_atom_site_fract_y
_atom_site_fract_z
_atom_site_occupancy
Hf1 0.923 0.669 0.907 1
Sb1 0.500 0.000 0.000 1
Hf2 0.310 0.594 0.594 1
Hf3 0.500 0.249 0.751 1
Hf4 0.500 0.751 0.249 1
Hf5 0.077 0.331 0.093 1
Hf6 0.690 0.406 0.406 1
Rh1 0.000 0.708 0.292 1
Hf7 0.077 0.093 0.331 1
Rh2 0.000 0.292 0.708 1
Hf8 0.923 0.907 0.669 1
```

## Properties
For the raw total energy, the calculation gives -9.222 eV/atom. The calculation puts the energy relative to the elements, uncorrected at -26.2 kJ/mol of atoms. As for the crystal system: monoclinic.


Record 7
Crystalline ThMgSe at its relaxed geometry. Source: the Alexandria database, functional PBE.

```
data_ThMgSe
_chemical_formula_sum 'Th2 Mg2 Se2'
_space_group_name_H-M_alt 'P 1'
_space_group_IT_number 1
_space_group_name_Hall 'P 1'
_cell_length_a 5.053
_cell_length_b 5.053
_cell_length_c 8.201
_cell_angle_alpha 72.06
_cell_angle_beta 72.06
_cell_angle_gamma 60.00
loop_
_atom_site_label
_atom_site_fract_x
_atom_site_fract_y
_atom_site_fract_z
_atom_site_occupancy
Se1 0.282 0.282 0.153 1
Mg1 0.837 0.837 0.490 1
Mg2 0.163 0.163 0.510 1
Th1 0.414 0.414 0.758 1
Th2 0.586 0.586 0.242 1
Se2 0.718 0.718 0.847 1
```

## Properties
For the raw total energy, the calculation gives -4.904 eV/atom. The calculation puts the energy relative to the elements, uncorrected at -71.2 kJ/mol of atoms. As for the crystal system: trigonal.


Record 8
Crystalline SiHgO2 at its relaxed geometry. Source: the Alexandria database, functional PBE.

```
data_SiHgO2
_chemical_formula_sum 'Si1 Hg1 O2'
_space_group_name_H-M_alt 'P 1'
_space_group_IT_number 1
_space_group_name_Hall 'P 1'
_cell_length_a 4.161
_cell_length_b 4.161
_cell_length_c 4.161
_cell_angle_alpha 60.00
_cell_angle_beta 60.00
_cell_angle_gamma 60.00
loop_
_atom_site_label
_atom_site_fract_x
_atom_site_fract_y
_atom_site_fract_z
_atom_site_occupancy
O1 0.750 0.750 0.750 1
O2 0.250 0.250 0.250 1
Si1 0.000 0.000 0.000 1
Hg1 0.500 0.500 0.500 1
```

## Properties
For the raw total energy, the calculation gives -3.739 eV/atom. The calculation puts the energy relative to the elements, uncorrected at 16.6 kJ/mol of atoms. Its polymorph energy (0 for the lowest one) is 1.9941 eV/atom. As for the crystal system: cubic.


Record 9
Crystalline Li3Ce3ScS8 at its relaxed geometry. Source: the Alexandria database, functional PBE.

```
data_Li3Ce3ScS8
_chemical_formula_sum 'Li3 Ce3 Sc1 S8'
_space_group_name_H-M_alt 'P 1'
_space_group_IT_number 1
_space_group_name_Hall 'P 1'
_cell_length_a 8.003
_cell_length_b 8.003
_cell_length_c 7.649
_cell_angle_alpha 121.56
_cell_angle_beta 90.00
_cell_angle_gamma 120.00
loop_
_atom_site_label
_atom_site_fract_x
_atom_site_fract_y
_atom_site_fract_z
_atom_site_occupancy
S1 0.233 0.996 0.260 1
S2 0.763 0.996 0.260 1
S3 0.763 0.527 0.260 1
S4 0.237 0.473 0.740 1
Ce1 0.500 0.000 0.500 1
Ce2 0.500 0.500 0.500 1
S5 0.247 0.494 0.242 1
Sc1 0.000 0.000 0.500 1
Li1 0.000 0.000 0.000 1
Ce3 0.000 0.500 0.500 1
Li2 0.000 0.500 0.000 1
S6 0.767 0.004 0.740 1
S7 0.237 0.004 0.740 1
S8 0.753 0.506 0.758 1
Li3 0.500 0.500 0.000 1
```

## Properties
For the raw total energy, the calculation gives -5.938 eV/atom. The calculation puts the energy relative to the elements, uncorrected at -168.4 kJ/mol of atoms. As for the crystal system: trigonal.


Record 10
Crystalline Co2MoAu at its relaxed geometry. Source: the Alexandria database, functional PBE.

```
data_Co2MoAu
_chemical_formula_sum 'Co2 Mo1 Au1'
_space_group_name_H-M_alt 'P 1'
_space_group_IT_number 1
_space_group_name_Hall 'P 1'
_cell_length_a 2.784
_cell_length_b 3.444
_cell_length_c 5.697
_cell_angle_alpha 90.00
_cell_angle_beta 90.00
_cell_angle_gamma 90.00
loop_
_atom_site_label
_atom_site_fract_x
_atom_site_fract_y
_atom_site_fract_z
_atom_site_occupancy
Co1 0.000 0.000 0.474 1
Mo1 0.500 0.500 0.250 1
Au1 0.500 0.500 0.750 1
Co2 0.000 0.000 0.026 1
```

## Properties
For the raw total energy, the calculation gives -6.911 eV/atom. The value obtained for the formation energy is 16 kJ per mole of atoms. As for the crystal system: orthorhombic.


Record 11
Crystalline Be4MoRu at its relaxed geometry. Source: the Alexandria database, functional PBE.

```
data_Be4MoRu
_chemical_formula_sum 'Be4 Mo1 Ru1'
_space_group_name_H-M_alt 'P 1'
_space_group_IT_number 1
_space_group_name_Hall 'P 1'
_cell_length_a 4.391
_cell_length_b 4.391
_cell_length_c 4.391
_cell_angle_alpha 60.00
_cell_angle_beta 60.00
_cell_angle_gamma 60.00
loop_
_atom_site_label
_atom_site_fract_x
_atom_site_fract_y
_atom_site_fract_z
_atom_site_occupancy
Ru1 0.000 0.000 0.000 1
Mo1 0.750 0.750 0.750 1
Be1 0.376 0.376 0.376 1
Be2 0.376 0.871 0.376 1
Be3 0.376 0.376 0.871 1
Be4 0.871 0.376 0.376 1
```

## Properties
For the raw total energy, the calculation gives -6.182 eV/atom. The value obtained for the formation energy is -33 kJ per mole of atoms. As for the crystal system: cubic.


Record 12
Crystalline Ga4AgHg at its relaxed geometry. Source: the Alexandria database, functional PBE.

```
data_Ga4AgHg
_chemical_formula_sum 'Ga4 Ag1 Hg1'
_space_group_name_H-M_alt 'P 1'
_space_group_IT_number 1
_space_group_name_Hall 'P 1'
_cell_length_a 5.551
_cell_length_b 5.551
_cell_length_c 5.551
_cell_angle_alpha 60.00
_cell_angle_beta 60.00
_cell_angle_gamma 60.00
loop_
_atom_site_label
_atom_site_fract_x
_atom_site_fract_y
_atom_site_fract_z
_atom_site_occupancy
Ga1 0.625 0.126 0.625 1
Ag1 0.250 0.250 0.250 1
Ga2 0.126 0.625 0.625 1
Ga3 0.625 0.625 0.625 1
Ga4 0.625 0.625 0.126 1
Hg1 0.000 0.000 0.000 1
```

## Properties
For the raw total energy, the calculation gives -2.422 eV/atom. The value obtained for the formation energy is 12 kJ per mole of atoms. Its polymorph energy (0 for the lowest one) is 0.0693 eV/atom. As for the crystal system: cubic.